A relaxed structure of Ba3Zr, computed with PBE-GGA.

calculated formation energy	629	meV per atom
distance to the lowest polymorph of the same formula	110	kJ/mol of formula units
total DFT energy (no corrections)	-2.950	eV per atom
SG	Pm-3n
Fermi-level density of states	15.51	states/eV/cell

```
data_Ba3Zr
_chemical_formula_sum 'Ba6 Zr2'
_cell_length_a 7.271
_cell_length_b 7.271
_cell_length_c 7.271
_cell_angle_alpha 90.00
_cell_angle_beta 90.00
_cell_angle_gamma 90.00
_space_group_name_H-M_alt 'P 1'
_space_group_IT_number 1
loop_
_space_group_symop_operation_xyz
'x,y,z'
loop_
_atom_site_label
_atom_site_type_symbol
_atom_site_fract_x
_atom_site_fract_y
_atom_site_fract_z
Ba1 Ba 0.000 0.750 0.500
Zr1 Zr 0.500 0.500 0.500
Zr2 Zr 0.000 0.000 0.000
Ba2 Ba 0.000 0.250 0.500
Ba3 Ba 0.500 0.000 0.250
Ba4 Ba 0.500 0.000 0.750
Ba5 Ba 0.250 0.500 0.000
Ba6 Ba 0.750 0.500 0.000
```

A relaxed structure of BaZr, computed with PBE-GGA.

calculated formation energy	1056	meV per atom
distance to the lowest polymorph of the same formula	137	kJ/mol of formula units
total DFT energy (no corrections)	-4.180	eV per atom
SG	I-43m
Fermi-level density of states	24.61	states/eV/cell

```
data_BaZr
_chemical_formula_sum 'Ba8 Zr8'
_cell_length_a 10.500
_cell_length_b 10.500
_cell_length_c 10.500
_cell_angle_alpha 90.00
_cell_angle_beta 90.00
_cell_angle_gamma 90.00
_space_group_name_H-M_alt 'P 1'
_space_group_IT_number 1
loop_
_space_group_symop_operation_xyz
'x,y,z'
loop_
_atom_site_label
_atom_site_type_symbol
_atom_site_fract_x
_atom_site_fract_y
_atom_site_fract_z
Ba1 Ba 0.210 0.790 0.210
Zr1 Zr 0.594 0.406 0.406
Zr2 Zr 0.406 0.406 0.594
Ba2 Ba 0.710 0.290 0.710
Zr3 Zr 0.094 0.906 0.906
Ba3 Ba 0.290 0.290 0.290
Zr4 Zr 0.906 0.906 0.094
Ba4 Ba 0.710 0.710 0.290
Zr5 Zr 0.094 0.094 0.094
Zr6 Zr 0.406 0.594 0.406
Zr7 Zr 0.906 0.094 0.906
Zr8 Zr 0.594 0.594 0.594
Ba5 Ba 0.290 0.710 0.710
Ba6 Ba 0.210 0.210 0.790
Ba7 Ba 0.790 0.790 0.790
Ba8 Ba 0.790 0.210 0.210
```

A relaxed structure of Ba5Zr4, computed with PBE-GGA.

calculated formation energy	598	meV per atom
total DFT energy (no corrections)	-4.269	eV per atom
SG	P6_3/mcm
Fermi-level density of states	28.99	states/eV/cell

```
data_Ba5Zr4
_chemical_formula_sum 'Ba10 Zr8'
_cell_length_a 10.845
_cell_length_b 10.845
_cell_length_c 6.798
_cell_angle_alpha 90.00
_cell_angle_beta 90.00
_cell_angle_gamma 120.00
_space_group_name_H-M_alt 'P 1'
_space_group_IT_number 1
loop_
_space_group_symop_operation_xyz
'x,y,z'
loop_
_atom_site_label
_atom_site_type_symbol
_atom_site_fract_x
_atom_site_fract_y
_atom_site_fract_z
Ba1 Ba 0.000 0.636 0.250
Ba2 Ba 0.667 0.333 0.500
Zr1 Zr 0.000 0.000 0.000
Zr2 Zr 0.000 0.220 0.250
Ba3 Ba 0.364 0.000 0.750
Ba4 Ba 0.364 0.364 0.250
Zr3 Zr 0.220 0.000 0.250
Zr4 Zr 0.220 0.220 0.750
Ba5 Ba 0.333 0.667 0.000
Ba6 Ba 0.000 0.364 0.750
Ba7 Ba 0.667 0.333 0.000
Zr5 Zr 0.780 0.780 0.250
Ba8 Ba 0.636 0.636 0.750
Ba9 Ba 0.333 0.667 0.500
Zr6 Zr 0.000 0.780 0.750
Zr7 Zr 0.780 0.000 0.750
Ba10 Ba 0.636 0.000 0.250
Zr8 Zr 0.000 0.000 0.500
```